The following is a DFT calculation (PBE-GGA) of a relaxed structure of CeScPtRh.

Properties
Formation energy: -882 meV per atom
SG: F-43m, No. 216
Final energy: -29.2 eV per cell

Lattice parameters (Å, degrees): 4.833 4.833 4.833 60.00 60.00 60.00
Last column: magnetic moment on the atom in μB.
Sites, in units of the cell vectors:
1 Pt 0.750 0.750 0.750  0.00
2 Sc 0.500 0.500 0.500  0.07
3 Rh 0.250 0.250 0.250  -0.01
4 Ce 0.000 0.000 0.000  0.54